DFT (PBE) results for an optimized crystal structure of RbYHf.

Properties
DFT formation energy: 0.847 eV/atom
Volume: 41.6 Å³/atom
ρ: 4.699 Mg/m³
Total energy: -4.9482 eV per atom
Energy above the lowest structure with this stoichiometry: 601 meV/atom
Symmetry: Cmcm (63)

Structure (POSCAR):
```
RbYHf
1.0
2.732 -7.287 0.000
2.732 7.287 0.000
0.000 0.000 6.265
Rb Y Hf
2 2 2
direct
0.232 0.768 0.750
0.768 0.232 0.250
0.500 0.500 0.000
0.500 0.500 0.500
0.021 0.979 0.250
0.979 0.021 0.750
```

DFT (PBE) results for an optimized crystal structure of KTa2MnN.

Properties
Volume: 17.2 Å³/atom
ρ: 9.054 Mg/m³
Formation energy without anion corrections: 3.793 eV per atom
Total energy: -4.6663 eV per atom
Symmetry: P4/mmm (123)

Structure (POSCAR):
```
KTa2MnN
1.0
4.678 0.000 0.000
0.000 4.678 0.000
0.000 0.000 3.938
K Ta Mn N
1 2 1 1
direct
0.000 0.000 0.000
0.000 0.500 0.000
0.500 0.000 0.000
0.000 0.000 0.500
0.500 0.500 0.500
```

DFT (PBE) results for an optimized crystal structure of PaTl2Te6Au2.

Properties
Volume: 36.4 Å³/atom
ρ: 7.467 Mg/m³
Formation energy without anion corrections: -0.238 eV per atom
Total energy: -3.8407 eV per atom
Symmetry: C2/m (12)

Structure (POSCAR):
```
PaTl2Te6Au2
1.0
7.661 -3.298 0.000
7.661 3.298 0.000
-5.303 0.000 7.919
Pa Tl Te Au
1 2 6 2
direct
0.000 0.000 0.000
0.217 0.217 0.731
0.783 0.783 0.269
0.166 0.669 0.678
0.217 0.217 0.098
0.331 0.834 0.322
0.669 0.166 0.678
0.783 0.783 0.902
0.834 0.331 0.322
0.417 0.417 0.218
0.583 0.583 0.782
```

DFT (PBE) results for an optimized crystal structure of K6NaAu2.

Properties
DFT formation energy: -0.157 eV/atom
Volume: 46.1 Å³/atom
ρ: 2.610 Mg/m³
Total energy: -1.7631 eV per atom
Symmetry: Immm (71)

Structure (POSCAR):
```
K6NaAu2
1.0
-5.705 5.712 6.361
5.705 -5.712 6.361
5.705 5.712 -6.361
K Na Au
12 2 4
direct
0.012 0.842 0.169
0.250 0.545 0.295
0.250 0.955 0.705
0.290 0.324 0.614
0.290 0.676 0.966
0.327 0.158 0.169
0.673 0.842 0.831
0.710 0.324 0.034
0.710 0.676 0.386
0.750 0.045 0.295
0.750 0.455 0.705
0.988 0.158 0.831
0.000 0.500 0.500
0.500 0.000 0.500
0.000 0.205 0.205
0.000 0.795 0.795
0.385 0.385 0.000
0.615 0.615 0.000
```

DFT (PBE) results for an optimized crystal structure of Sr3In2Hg4Bi2.

Properties
DFT formation energy: -0.356 eV/atom
Volume: 31.8 Å³/atom
ρ: 8.124 Mg/m³
Total energy: -2.1275 eV per atom
Symmetry: I4/mmm (139)

Structure (POSCAR):
```
Sr3In2Hg4Bi2
1.0
-2.436 2.436 14.747
2.436 -2.436 14.747
2.436 2.436 -14.747
Sr In Hg Bi
3 2 4 2
direct
0.000 0.000 0.000
0.196 0.196 0.000
0.804 0.804 0.000
0.450 0.450 0.000
0.550 0.550 0.000
0.107 0.607 0.500
0.393 0.893 0.500
0.607 0.107 0.500
0.893 0.393 0.500
0.314 0.314 0.000
0.686 0.686 0.000
```

DFT (PBE) results for an optimized crystal structure of TcNi2.

Properties
DFT formation energy: 0.101 eV/atom
Volume: 12.3 Å³/atom
ρ: 9.717 Mg/m³
Total energy: -7.2084 eV per atom
Energy above the lowest structure with this stoichiometry: 139 meV/atom
Symmetry: P-62m (189)

Structure (POSCAR):
```
TcNi2
1.0
7.109 0.000 0.000
-3.555 6.157 0.000
0.000 0.000 2.523
Tc Ni
3 6
direct
0.000 0.000 0.000
0.333 0.667 0.500
0.667 0.333 0.500
0.000 0.308 0.500
0.000 0.642 0.000
0.308 0.000 0.500
0.358 0.358 0.000
0.642 0.000 0.000
0.692 0.692 0.500
```

DFT (PBE) results for an optimized crystal structure of LiCd2F4.

Properties
Volume: 14.4 Å³/atom
ρ: 5.057 Mg/m³
Formation energy without anion corrections: -2.088 eV per atom
Total energy: -3.6922 eV per atom
Symmetry: C2/m (12)

Structure (POSCAR):
```
LiCd2F4
1.0
5.774 -1.638 0.000
5.774 1.638 0.000
-2.233 0.000 5.342
Li Cd F
1 2 4
direct
0.000 0.000 0.000
0.282 0.282 0.308
0.718 0.718 0.692
0.137 0.137 0.859
0.393 0.393 0.758
0.607 0.607 0.242
0.863 0.863 0.141
```

DFT (PBE) results for an optimized crystal structure of UBiSe.

Properties
Volume: 27.4 Å³/atom
ρ: 10.636 Mg/m³
Formation energy without anion corrections: -0.322 eV per atom
Total energy: -6.5401 eV per atom
Symmetry: P-6m2 (187)

Structure (POSCAR):
```
UBiSe
1.0
4.797 0.000 0.000
-2.398 4.154 0.000
0.000 0.000 4.121
U Bi Se
1 1 1
direct
0.000 0.000 0.000
0.667 0.333 0.500
0.333 0.667 0.000
```

DFT (PBE) results for an optimized crystal structure of Ca2MgAlH.

Properties
Volume: 21.7 Å³/atom
ρ: 2.025 Mg/m³
Total energy: -2.7025 eV per atom
Energy above the lowest structure with this stoichiometry: 50 meV/atom
Symmetry: P4/mmm (123)

Structure (POSCAR):
```
Ca2MgAlH
1.0
5.191 0.000 0.000
0.000 5.191 0.000
0.000 0.000 4.030
Ca Mg Al H
2 1 1 1
direct
0.000 0.500 0.000
0.500 0.000 0.000
0.000 0.000 0.500
0.500 0.500 0.500
0.500 0.500 0.000
```

DFT (PBE) results for an optimized crystal structure of AlAuSe3.

Properties
Volume: 23.2 Å³/atom
ρ: 6.589 Mg/m³
Formation energy without anion corrections: 0.341 eV per atom
Total energy: -3.1536 eV per atom
Energy above the lowest structure with this stoichiometry: 0 meV/atom
Symmetry: Pm-3m (221)

Structure (POSCAR):
```
AlAuSe3
1.0
4.879 0.000 0.000
0.000 4.879 0.000
0.000 0.000 4.879
Al Au Se
1 1 3
direct
0.000 0.000 0.000
0.500 0.500 0.500
0.000 0.000 0.500
0.000 0.500 0.000
0.500 0.000 0.000
```

DFT (PBE) results for an optimized crystal structure of Y3Zn8Pt.

Properties
DFT formation energy: -0.388 eV/atom
Volume: 18.0 Å³/atom
ρ: 7.562 Mg/m³
Total energy: -3.3567 eV per atom
Symmetry: R3m (160)

Structure (POSCAR):
```
Y3Zn8Pt
1.0
2.643 1.526 8.936
-2.643 1.526 8.936
0.000 -3.052 8.936
Y Zn Pt
3 8 1
direct
0.000 0.000 0.000
0.127 0.127 0.127
0.514 0.514 0.514
0.064 0.566 0.566
0.069 0.069 0.569
0.069 0.569 0.069
0.317 0.317 0.317
0.566 0.064 0.566
0.566 0.566 0.064
0.569 0.069 0.069
0.819 0.819 0.819
0.624 0.624 0.624
```

DFT (PBE) results for an optimized crystal structure of ZrPt3.

Properties
DFT formation energy: 0.009 eV/atom
Volume: 23.5 Å³/atom
ρ: 11.969 Mg/m³
Total energy: -6.6590 eV per atom
Symmetry: Cmcm (63)

Structure (POSCAR):
```
ZrPt3
1.0
6.275 -5.349 0.000
6.275 5.349 0.000
0.000 0.000 2.796
Zr Pt
2 6
direct
0.155 0.845 0.750
0.845 0.155 0.250
0.125 0.536 0.750
0.391 0.609 0.250
0.464 0.875 0.750
0.536 0.125 0.250
0.609 0.391 0.750
0.875 0.464 0.250
```

> The highest total energy belongs to which entry?

K6NaAu2

> Which value of total energy does entry 1 give?

-4.9482 eV per atom